The following is a PBE-GGA calculation of an optimized crystal structure of TbDy5Y2, from the Alexandria database.

The structure belongs to space group P-1 (No. 2); the cell edges are 6.622, 8.839 and 9.506 Å and the angles 88.10°, 84.56° and 68.11°. Symmetry generates all atoms from Tb at (0.061, 0.376, 0.250), Dy at (0.051, 0.748, 0.111), Dy at (0.198, 0.007, 0.410), Dy at (0.293, 0.009, 0.088), Dy at (0.298, 0.252, 0.610), Dy at (0.342, 0.819, 0.750), Y at (0.270, 0.608, 0.422) and Y at (0.378, 0.390, 0.922).

Its energy of formation is 1.2 eV/f.u.

***

The following is a PBE-GGA calculation of an optimized crystal structure of Li2AlCd, from the Alexandria database.

The structure belongs to space group Pmmm (No. 47); the cell edges are 3.094, 3.423 and 6.379 Å and the angles 90.00°, 90.00° and 90.00°. Symmetry generates all atoms from Li at (0.000, 0.000, 0.239), Al at (0.500, 0.500, 0.000) and Cd at (0.500, 0.500, 0.500).

Its energy of formation is -0.7 eV/f.u.

***

The following is a PBE-GGA calculation of an optimized crystal structure of ZrHg2Ir, from the Alexandria database.

The structure belongs to space group R-3m (No. 166, hexagonal axes); the cell edges are 3.0769, 3.0769 and 28.8696 Å and the angles 90.00°, 90.00° and 120.00°. Symmetry generates all atoms from Zr at (0.0000, 0.0000, 0.0000), Hg at (0.0000, 0.0000, 0.2450) and Ir at (0.0000, 0.0000, 0.5000).

Its energy of formation is 0.9 eV/f.u.

***

The following is a PBE-GGA calculation of an optimized crystal structure of CsZnH6Rh, from the Alexandria database.

The structure belongs to space group P312 (No. 149); the cell edges are 4.6553, 4.6553 and 6.4358 Å and the angles 90.00°, 90.00° and 120.00°. Symmetry generates all atoms from Cs at (0.0000, 0.0000, 0.0000), Zn at (0.3333, 0.6667, 0.5000), H at (0.3821, 0.0412, 0.6539) and Rh at (0.6667, 0.3333, 0.5000).

The value obtained for the calculated total energy is -0.128 Ha/atom.

***

The following is a PBE-GGA calculation of an optimized crystal structure of La2NdHo3Tm6, from the Alexandria database.

The structure belongs to space group C2/m (No. 12); the cell edges are 6.174, 10.687 and 11.714 Å and the angles 90.00°, 100.09° and 90.00°. Symmetry generates all atoms from La at (0.000, 0.167, 0.000), Nd at (0.000, 0.500, 0.000), Ho at (0.000, 0.000, 0.500), Ho at (0.000, 0.333, 0.500), Tm at (0.247, 0.500, 0.745) and Tm at (0.248, 0.166, 0.744).

Its energy of formation is 0.3 eV/f.u.

***

The following is a PBE-GGA calculation of an optimized crystal structure of TmHf2Mn9, from the Alexandria database.

The structure belongs to space group R-3m (No. 166, hexagonal axes); the cell edges are 5.0283, 5.0283 and 23.4271 Å and the angles 90.00°, 90.00° and 120.00°. Symmetry generates all atoms from Tm at (0.0000, 0.0000, 0.0000), Hf at (0.0000, 0.0000, 0.1432), Mn at (0.0000, 0.0000, 0.3339), Mn at (0.0000, 0.0000, 0.5000) and Mn at (0.0040, 0.5020, 0.9153).

Its energy of formation is -1.5 eV/f.u.

***

- Which formula does entry 6 have?
  TmHf2Mn9